# NbAlSn3 | the Alexandria database | meta-GGA SCAN | PBEsol geometry
# Formation enthalpy at 0 K in meV per atom: 531
# Symmetry: Pm-3m (221)
# Calculated density in g/cm³: 5.28
data_NbAlSn3
_chemical_formula_sum 'Nb1 Al1 Sn3'
_cell_length_a 5.3100
_cell_length_b 5.3100
_cell_length_c 5.3100
_cell_angle_alpha 90.00
_cell_angle_beta 90.00
_cell_angle_gamma 90.00
_space_group_name_H-M_alt 'P 1'
_space_group_IT_number 1
_space_group_name_Hall 'P 1'
loop_
_atom_site_label
_atom_site_type_symbol
_atom_site_fract_x
_atom_site_fract_y
_atom_site_fract_z
Nb1 Nb 0.0000 0.0000 0.0000
Al1 Al 0.5000 0.5000 0.5000
Sn1 Sn 0.0000 0.0000 0.5000
Sn2 Sn 0.0000 0.5000 0.0000
Sn3 Sn 0.5000 0.0000 0.0000